(1)
Here is AsIr2W after structural relaxation from Alexandria. Energies are from PBE.

Lattice parameters (Å, degrees): 2.836 4.194 5.296 90.00 105.09 90.00
Space group P2/m (No. 10)
Unique sites:
As1 0.000 0.000 0.000 (multiplicity 1)
Ir1 0.370 0.500 0.246 (multiplicity 2)
W1 0.000 0.000 0.500 (multiplicity 1)

Calculated values
V: 60.8 Å³/cell
Energy of formation from the pure elements: 0.04 eV per atom
Fermi-level density of states: 2.32 states/eV/f.u.



(2)
Here is Sr2TeAsPd6 after structural relaxation from Alexandria. Energies are from PBE.

Lattice parameters (Å, degrees): 5.692 9.056 8.576 90.00 90.00 90.00
Space group Pmmn (No. 59, origin choice 2)
Unique sites:
Sr1 0.250 0.001 0.231 (multiplicity 4)
Te1 0.250 0.750 0.769 (multiplicity 2)
As1 0.250 0.250 0.743 (multiplicity 2)
Pd1 0.003 0.750 0.495 (multiplicity 4)
Pd2 0.005 0.250 0.977 (multiplicity 4)
Pd3 0.250 0.002 0.607 (multiplicity 4)

Calculated values
V: 442.0 Å³/cell
Fermi-level density of states: 4.68 states/eV/f.u.
Raw formation energy: -0.663 eV per atom



(3)
Here is Tm4Cd3Ag after structural relaxation from Alexandria. Energies are from PBE.

Lattice parameters (Å, degrees): 3.662 3.662 14.719 90.00 90.00 90.00
Space group P4/mmm (No. 123)
Unique sites:
Tm1 0.000 0.000 0.118 (multiplicity 2)
Tm2 0.000 0.000 0.373 (multiplicity 2)
Cd1 0.500 0.500 0.247 (multiplicity 2)
Cd2 0.500 0.500 0.500 (multiplicity 1)
Ag1 0.500 0.500 0.000 (multiplicity 1)

Calculated values
V: 197.4 Å³/cell
Energy of formation from the pure elements: -0.32 eV per atom
Fermi-level density of states: 5.07 states/eV/f.u.
Offset from the most stable computed form: 0.00 eV per formula unit



(4)
Here is KTl3 after structural relaxation from Alexandria. Energies are from PBE.

Lattice parameters (Å, degrees): 11.083 3.524 6.902 90.00 98.07 90.00
Space group C2/m (No. 12)
Unique sites:
K1 0.000 0.000 0.000 (multiplicity 2)
Tl1 0.000 0.500 0.500 (multiplicity 2)
Tl2 0.243 0.000 0.721 (multiplicity 4)

Calculated values
V: 266.9 Å³/cell
Energy of formation from the pure elements: -0.04 eV per atom
Fermi-level density of states: 1.79 states/eV/f.u.



(5)
Here is Er3TeSe6 after structural relaxation from Alexandria. Energies are from PBE.

Lattice parameters (Å, degrees): 10.953 13.950 6.996 90.00 90.00 90.00
Space group Cmc2_1 (No. 36)
Unique sites:
Er1 0.000 0.088 0.000 (multiplicity 4)
Er2 0.188 0.399 0.113 (multiplicity 8)
Te1 0.000 0.331 0.589 (multiplicity 4)
Se1 0.000 0.268 0.231 (multiplicity 4)
Se2 0.000 0.491 0.866 (multiplicity 4)
Se3 0.166 0.037 0.302 (multiplicity 8)
Se4 0.167 0.229 0.836 (multiplicity 8)

Calculated values
V: 1069.0 Å³/cell
Fermi-level density of states: 4.05 states/eV/f.u.
Raw formation energy: -1.284 eV per atom



(6)
Here is Sm6In2Hg after structural relaxation from Alexandria. Energies are from PBE.

Lattice parameters (Å, degrees): 10.251 10.251 5.140 90.00 90.00 90.00
Space group P4_2/mnm (No. 136)
Unique sites:
Sm1 0.018 0.321 0.000 (multiplicity 8)
Sm2 0.131 0.869 0.500 (multiplicity 4)
In1 0.197 0.197 0.500 (multiplicity 4)
Hg1 0.000 0.000 0.000 (multiplicity 2)

Calculated values
V: 540.1 Å³/cell
Energy of formation from the pure elements: -0.30 eV per atom
Fermi-level density of states: 11.24 states/eV/f.u.